Below is crystalline LiAcYAg at its relaxed geometry, with properties calculated at the PBE level.

DOS(E_F): 4.69 states/eV/f.u.
E_form: -0.048 eV per atom

Cell: 7.691 7.691 7.691 Å, 90.00 90.00 90.00°
Space group F-43m (No. 216)
One atom of each set of equivalent atoms:
Li1 0.000 0.000 0.000
Ac1 0.250 0.250 0.250
Y1 0.250 0.250 0.750
Ag1 0.000 0.000 0.500


Below is crystalline LiAcZnAg at its relaxed geometry, with properties calculated at the PBE level.

DOS(E_F): 2.83 states/eV/f.u.
E_form: -0.232 eV per atom
distance to the lowest polymorph of the same formula: 0 meV/atom

Cell: 8.016 4.643 5.930 Å, 90.00 117.00 90.00°
Space group Cm (No. 8)
One atom of each set of equivalent atoms:
Li1 0.000 0.000 0.000
Ac1 0.497 0.000 0.492
Zn1 0.293 0.000 0.879
Ag1 0.198 0.500 0.094


Below is crystalline Li4Ac2ZnAg3 at its relaxed geometry, with properties calculated at the PBE level.

DOS(E_F): 6.14 states/eV/f.u.
E_form: -0.177 eV per atom

Cell: 4.533 4.533 11.148 Å, 90.00 90.00 90.00°
Space group P-4m2 (No. 115)
One atom of each set of equivalent atoms:
Li1 0.000 0.000 0.000
Li2 0.000 0.500 0.384
Li3 0.500 0.500 0.000
Ac1 0.000 0.500 0.738
Zn1 0.500 0.500 0.500
Ag1 0.000 0.000 0.500
Ag2 0.000 0.500 0.142


Below is crystalline LiAc2ZnAg6 at its relaxed geometry, with properties calculated at the PBE level.

DOS(E_F): 3.69 states/eV/f.u.
E_form: -0.129 eV per atom

Cell: 6.701 6.712 7.130 Å, 62.46 62.52 60.40°
Space group P-1 (No. 2)
One atom of each set of equivalent atoms:
Li1 0.000 0.000 0.000
Ac1 0.219 0.219 0.345
Zn1 0.500 0.500 0.500
Ag1 0.243 0.677 0.833
Ag2 0.246 0.245 0.830
Ag3 0.325 0.755 0.166


Below is crystalline LiAcZnAg6 at its relaxed geometry, with properties calculated at the PBE level.

DOS(E_F): 3.55 states/eV/f.u.
E_form: 0.039 eV per atom

Cell: 7.280 9.035 11.597 Å, 90.00 90.00 90.00°
Space group Imma (No. 74)
One atom of each set of equivalent atoms:
Li1 0.000 0.000 0.000
Ac1 0.000 0.250 0.199
Zn1 0.250 0.250 0.750
Ag1 0.000 0.250 0.484
Ag2 0.000 0.250 0.906
Ag3 0.195 0.011 0.623


Below is crystalline Li2AcZn2Ag2 at its relaxed geometry, with properties calculated at the PBE level.

DOS(E_F): 4.17 states/eV/f.u.
E_form: -0.213 eV per atom

Cell: 7.974 4.580 8.397 Å, 90.00 107.45 90.00°
Space group C2/m (No. 12)
One atom of each set of equivalent atoms:
Li1 0.138 0.000 0.422
Ac1 0.000 0.000 0.000
Zn1 0.065 0.500 0.685
Ag1 0.249 0.500 0.256